Entry 1:
VASP calculation (PBE) on crystalline Cs2VPdS4 at its relaxed geometry.

Cell: 14.1257 12.5489 7.6377 Å, 85.13 62.27 32.60°
With the nearest neighbours (Å) after each atom.
Fractional coordinates of all 16 atoms:
Cs: 0.0500 0.0500 0.7000  8 S 3.55-3.81
Cs: 0.3000 0.3000 0.9500  8 S 3.55-3.81
Cs: 0.7000 0.7000 0.0500  8 S 3.55-3.81
Cs: 0.9500 0.9500 0.3000  8 S 3.55-3.81
V: 0.3750 0.3750 0.3750  4 S 2.19
V: 0.6250 0.6250 0.6250  4 S 2.19
Pd: 0.1250 0.1250 0.1250  4 S 2.40
Pd: 0.8750 0.8750 0.8750  4 S 2.40
S: 0.0123 0.6363 0.5551  1 V 2.19, 1 Pd 2.40
S: 0.2964 0.5551 0.6363  1 V 2.19, 1 Pd 2.40
S: 0.3637 0.9877 0.7036  1 V 2.19, 1 Pd 2.40
S: 0.4449 0.7036 0.9877  1 V 2.19, 1 Pd 2.40
S: 0.5551 0.2964 0.0123  1 V 2.19, 1 Pd 2.40
S: 0.6363 0.0123 0.2964  1 V 2.19, 1 Pd 2.40
S: 0.7036 0.4449 0.3637  1 V 2.19, 1 Pd 2.40
S: 0.9877 0.3637 0.4449  1 V 2.19, 1 Pd 2.40

Results
**Size of the total moment**: 0.00 μB/f.u.
**Uncorrected formation energy**: -0.9831 eV per atom

Entry 2:
VASP calculation (PBE) on crystalline CsYPdS2 at its relaxed geometry.

Cell: 5.2920 5.2920 4.9358 Å, 90.00 90.00 90.00°
With the nearest neighbours (Å) after each atom.
Fractional coordinates of all 5 atoms:
Cs: 0.0000 0.0000 0.0000  8 S 3.62, 4 Y 3.74
Y: 0.5000 0.5000 0.0000  2 Pd 2.47
Pd: 0.5000 0.5000 0.5000  2 Y 2.47, 4 S 2.65
S: 0.0000 0.5000 0.5000  2 Pd 2.65
S: 0.5000 0.0000 0.5000  2 Pd 2.65

Results
**Size of the total moment**: 0.00 μB/f.u.
**Uncorrected formation energy**: -0.2733 eV per atom

Entry 3:
VASP calculation (PBE) on crystalline CsZrPdS3 at its relaxed geometry.

Cell: 9.0637 3.8180 9.9087 Å, 90.00 114.43 90.00°
With the nearest neighbours (Å) after each atom.
Fractional coordinates of all 12 atoms:
Cs: 0.2302 0.2500 0.2539  7 S 3.47-3.62, 2 Cs 3.82
Cs: 0.7698 0.7500 0.7461  7 S 3.47-3.62, 2 Cs 3.82
Zr: 0.3152 0.7500 0.8424  6 S 2.56-2.65
Zr: 0.6848 0.2500 0.1576  6 S 2.56-2.65
Pd: 0.0996 0.2500 0.5948  3 S 2.37-2.53
Pd: 0.9004 0.7500 0.4052  3 S 2.37-2.53
S: 0.1315 0.2500 0.8603  1 Pd 2.53, 2 Zr 2.59
S: 0.2377 0.7500 0.5631  2 Pd 2.37, 1 Zr 2.56
S: 0.4734 0.7500 0.1351  3 Zr 2.65
S: 0.5266 0.2500 0.8649  3 Zr 2.65
S: 0.7623 0.2500 0.4369  2 Pd 2.37, 1 Zr 2.56
S: 0.8685 0.7500 0.1397  1 Pd 2.53, 2 Zr 2.59

Results
**Size of the total moment**: 0.00 μB/f.u.
**Uncorrected formation energy**: -1.1948 eV per atom

Entry 4:
VASP calculation (PBE) on crystalline CsSb12Pd4 at its relaxed geometry.

Cell: 8.3738 8.3738 8.3738 Å, 109.47 109.47 109.47°
With the nearest neighbours (Å) after each atom.
Fractional coordinates of all 17 atoms:
Cs: 0.0000 0.0000 0.0000  12 Sb 3.71
Sb: 0.1573 0.5070 0.3497  2 Pd 2.75, 2 Sb 2.91-3.04
Sb: 0.1573 0.8075 0.6503  2 Pd 2.75, 2 Sb 2.91-3.04
Sb: 0.1925 0.3497 0.8427  2 Pd 2.75, 2 Sb 2.91-3.04
Sb: 0.3497 0.1573 0.5070  2 Pd 2.75, 2 Sb 2.91-3.04
Sb: 0.3497 0.8427 0.1925  2 Pd 2.75, 2 Sb 2.91-3.04
Sb: 0.4930 0.6503 0.8427  2 Pd 2.75, 2 Sb 2.91-3.04
Sb: 0.5070 0.3497 0.1573  2 Pd 2.75, 2 Sb 2.91-3.04
Sb: 0.6503 0.1573 0.8075  2 Pd 2.75, 2 Sb 2.91-3.04
Sb: 0.6503 0.8427 0.4930  2 Pd 2.75, 2 Sb 2.91-3.04
Sb: 0.8075 0.6503 0.1573  2 Pd 2.75, 2 Sb 2.91-3.04
Sb: 0.8427 0.1925 0.3497  2 Pd 2.75, 2 Sb 2.91-3.04
Sb: 0.8427 0.4930 0.6503  2 Pd 2.75, 2 Sb 2.91-3.04
Pd: 0.0000 0.0000 0.5000  6 Sb 2.75
Pd: 0.0000 0.5000 0.0000  6 Sb 2.75
Pd: 0.5000 0.0000 0.0000  6 Sb 2.75
Pd: 0.5000 0.5000 0.5000  6 Sb 2.75

Results
**Size of the total moment**: 0.00 μB/f.u.
**Uncorrected formation energy**: -0.2948 eV per atom

Entry 5:
VASP calculation (PBE) on crystalline Cs2SbPd2 at its relaxed geometry.

Cell: 11.7305 11.7305 11.7305 Å, 23.10 23.10 23.10°
With the nearest neighbours (Å) after each atom.
Fractional coordinates of all 5 atoms:
Cs: 0.0792 0.0792 0.0792  4 Pd 3.41-3.75
Cs: 0.9208 0.9208 0.9208  4 Pd 3.41-3.75
Sb: 0.5000 0.5000 0.5000  6 Pd 2.74
Pd: 0.1787 0.1787 0.1787  3 Sb 2.74, 3 Pd 2.83
Pd: 0.8213 0.8213 0.8213  3 Sb 2.74, 3 Pd 2.83

Results
**Size of the total moment**: 0.00 μB/f.u.
**Offset from the most stable computed form**: 0.0 meV per atom
**Uncorrected formation energy**: -0.3549 eV per atom

Entry 6:
VASP calculation (PBE) on crystalline Cs3Sb4Pd2 at its relaxed geometry.

Cell: 7.5899 7.5899 10.6950 Å, 102.33 102.33 34.88°
With the nearest neighbours (Å) after each atom.
Fractional coordinates of all 9 atoms:
Cs: 0.0000 0.0000 0.0000  6 Sb 3.84-4.00, 4 Pd 4.19
Cs: 0.3840 0.3840 0.6006  6 Sb 3.88-4.22
Cs: 0.6160 0.6160 0.3994  6 Sb 3.88-4.22
Sb: 0.1158 0.1158 0.6938  2 Pd 2.77, 1 Sb 2.92
Sb: 0.2821 0.2821 0.9062  3 Pd 2.71-2.74, 1 Sb 2.92
Sb: 0.7179 0.7179 0.0938  3 Pd 2.71-2.74, 1 Sb 2.92
Sb: 0.8842 0.8842 0.3062  2 Pd 2.77, 1 Sb 2.92
Pd: 0.3171 0.3171 0.1685  5 Sb 2.71-2.77
Pd: 0.6829 0.6829 0.8315  5 Sb 2.71-2.77

Results
**Size of the total moment**: 0.00 μB/f.u.
**Uncorrected formation energy**: -0.4591 eV per atom

Entry 7:
VASP calculation (PBE) on crystalline CsSbPd2 at its relaxed geometry.

Cell: 7.0910 7.0910 7.0910 Å, 38.16 38.16 38.16°
With the nearest neighbours (Å) after each atom.
Fractional coordinates of all 4 atoms:
Cs: 0.0000 0.0000 0.0000  8 Pd 3.67-3.95
Sb: 0.5000 0.5000 0.5000  6 Pd 2.70
Pd: 0.1862 0.1862 0.1862  3 Sb 2.70, 3 Pd 2.78
Pd: 0.8138 0.8138 0.8138  3 Sb 2.70, 3 Pd 2.78

Results
**Size of the total moment**: 0.00 μB/f.u.
**Uncorrected formation energy**: -0.4057 eV per atom

Entry 8:
VASP calculation (PBE) on crystalline CsSbPd3 at its relaxed geometry.

Cell: 4.1710 6.9596 8.5682 Å, 90.00 90.00 90.00°
With the nearest neighbours (Å) after each atom.
Fractional coordinates of all 10 atoms:
Cs: 0.2500 0.2500 0.0070  8 Pd 3.62-3.89, 1 Sb 3.71, 4 Cs 4.06
Cs: 0.7500 0.7500 0.9930  8 Pd 3.62-3.89, 1 Sb 3.71, 4 Cs 4.06
Sb: 0.2500 0.2500 0.4402  8 Pd 2.69-2.77
Sb: 0.7500 0.7500 0.5598  8 Pd 2.69-2.77
Pd: 0.2500 0.5345 0.6527  3 Sb 2.69, 3 Pd 2.88-3.00
Pd: 0.2500 0.7500 0.3467  2 Sb 2.77, 6 Pd 2.88-3.02
Pd: 0.2500 0.9655 0.6527  3 Sb 2.69, 3 Pd 2.88-3.00
Pd: 0.7500 0.0345 0.3473  3 Sb 2.69, 3 Pd 2.88-3.00
Pd: 0.7500 0.2500 0.6533  2 Sb 2.77, 6 Pd 2.88-3.02
Pd: 0.7500 0.4655 0.3473  3 Sb 2.69, 3 Pd 2.88-3.00

Results
**Size of the total moment**: 0.00 μB/f.u.
**Offset from the most stable computed form**: 0.0 meV per atom
**Uncorrected formation energy**: -0.2481 eV per atom

Entry 9:
VASP calculation (PBE) on crystalline Cs3Sb4Pd at its relaxed geometry.

Cell: 7.4199 14.2874 6.3140 Å, 90.00 90.00 90.00°
With the nearest neighbours (Å) after each atom.
Fractional coordinates of all 16 atoms:
Cs: 0.2500 0.0118 0.1554  4 Sb 3.70-4.13, 1 Pd 3.88
Cs: 0.2500 0.2500 0.5376  8 Sb 3.81-4.25, 2 Pd 3.82, 2 Cs 4.17
Cs: 0.2500 0.4882 0.1554  4 Sb 3.70-4.13, 1 Pd 3.88
Cs: 0.7500 0.5118 0.8446  4 Sb 3.70-4.13, 1 Pd 3.88
Cs: 0.7500 0.7500 0.4624  8 Sb 3.81-4.25, 2 Pd 3.82, 2 Cs 4.17
Cs: 0.7500 0.9882 0.8446  4 Sb 3.70-4.13, 1 Pd 3.88
Sb: 0.0461 0.7500 0.9696  1 Pd 2.67
Sb: 0.2500 0.6293 0.6460  1 Pd 2.69
Sb: 0.2500 0.8707 0.6460  1 Pd 2.69
Sb: 0.4539 0.7500 0.9696  1 Pd 2.67
Sb: 0.5461 0.2500 0.0304  1 Pd 2.67
Sb: 0.7500 0.1293 0.3540  1 Pd 2.69
Sb: 0.7500 0.3707 0.3540  1 Pd 2.69
Sb: 0.9539 0.2500 0.0304  1 Pd 2.67
Pd: 0.2500 0.7500 0.3189  4 Sb 2.67-2.69
Pd: 0.7500 0.2500 0.6811  4 Sb 2.67-2.69

Results
**Size of the total moment**: 0.00 μB/f.u.
**Uncorrected formation energy**: -0.3073 eV per atom

Entry 10:
VASP calculation (PBE) on crystalline CsSb3Pd3 at its relaxed geometry.

Cell: 10.0720 10.0720 10.0720 Å, 43.98 43.98 43.98°
With the nearest neighbours (Å) after each atom.
Fractional coordinates of all 14 atoms:
Cs: 0.1608 0.1608 0.1608  6 Sb 3.92-3.97, 3 Pd 4.05, 3 Cs 4.37
Cs: 0.8392 0.8392 0.8392  6 Sb 3.92-3.97, 3 Pd 4.05, 3 Cs 4.37
Sb: 0.0659 0.6792 0.4325  4 Pd 2.59-2.67
Sb: 0.3208 0.5675 0.9341  4 Pd 2.59-2.67
Sb: 0.4325 0.0659 0.6792  4 Pd 2.59-2.67
Sb: 0.5675 0.9341 0.3208  4 Pd 2.59-2.67
Sb: 0.6792 0.4325 0.0659  4 Pd 2.59-2.67
Sb: 0.9341 0.3208 0.5675  4 Pd 2.59-2.67
Pd: 0.0322 0.3286 0.7467  4 Sb 2.59-2.67
Pd: 0.2533 0.9678 0.6714  4 Sb 2.59-2.67
Pd: 0.3286 0.7467 0.0322  4 Sb 2.59-2.67
Pd: 0.6714 0.2533 0.9678  4 Sb 2.59-2.67
Pd: 0.7467 0.0322 0.3286  4 Sb 2.59-2.67
Pd: 0.9678 0.6714 0.2533  4 Sb 2.59-2.67

Results
**Size of the total moment**: 0.00 μB/f.u.
**Uncorrected formation energy**: -0.3452 eV per atom